# 1
Compound: AcIn2Ni3
Source: the Alexandria database
Functional: PBE
Structure: optimized geometry

abc: 10.3137 7.7252 5.9246
angles: 90.00 90.00 90.00
Space group Cmcm (No. 63)
Asymmetric unit:
Ac 0.0000 0.1805 0.2500 x4
In 0.2129 0.5000 0.0000 x8
Ni 0.0000 0.4462 0.7500 x4
Ni 0.1281 0.1921 0.7500 x8

**Energy relative to the elements**: -236 meV/atom
**DFT total energy**: -0.3472 Ry/atom



# 2
Compound: CdCoC3
Source: the Alexandria database
Functional: PBE
Structure: optimized geometry

abc: 4.2235 4.2235 4.2235
angles: 90.00 90.00 90.00
Space group Pm-3m (No. 221)
Asymmetric unit:
Cd 0.0000 0.0000 0.0000 x1
Co 0.5000 0.5000 0.5000 x1
C 0.0000 0.0000 0.5000 x3

**Energy relative to the elements**: 3654 meV/atom
**DFT total energy**: -0.2561 Ry/atom
**Energy above the lowest structure with this stoichiometry**: 1561 meV/atom



# 3
Compound: Mg5Sc4Co2
Source: the Alexandria database
Functional: PBE
Structure: optimized geometry

abc: 7.6444 3.3077 9.2315
angles: 90.00 94.86 90.00
Space group P2/m (No. 10)
Asymmetric unit:
Mg 0.0000 0.0000 0.0000 x1
Mg 0.0439 0.0000 0.3366 x2
Mg 0.3328 0.0000 0.8566 x2
Sc 0.3106 0.5000 0.5544 x2
Sc 0.3274 0.5000 0.1711 x2
Co 0.4277 0.0000 0.3622 x2

**Energy relative to the elements**: -154 meV/atom
**DFT total energy**: -0.3288 Ry/atom